(1)
Entry from Alexandria via LeMat-Bulk: a relaxed Al3CdAg6 crystal (PBE).

The formation energy is -1.0 kcal/mol of atoms.

a = 8.9430 Å, b = 4.2133 Å, c = 9.2366 Å
α = 90.00°, β = 91.62°, γ = 90.00°
Positions (direct):
Al 0.0508 0.2500 0.3940
Al 0.1557 0.7500 0.1831
Al 0.2543 0.2500 0.9814
Al 0.7457 0.7500 0.0186
Al 0.8443 0.2500 0.8169
Al 0.9492 0.7500 0.6060
Cd 0.4443 0.2500 0.6004
Cd 0.5557 0.7500 0.3996
Ag 0.0347 0.7500 0.8996
Ag 0.1274 0.2500 0.6943
Ag 0.2301 0.7500 0.4829
Ag 0.3358 0.2500 0.2826
Ag 0.3391 0.7500 0.7944
Ag 0.4458 0.7500 0.0937
Ag 0.5542 0.2500 0.9063
Ag 0.6609 0.2500 0.2056
Ag 0.6642 0.7500 0.7174
Ag 0.7699 0.2500 0.5171
Ag 0.8726 0.7500 0.3057
Ag 0.9653 0.2500 0.1004

(2)
Entry from Alexandria via LeMat-Bulk: a relaxed CeZn2H8Rh crystal (PBE).

a = 4.4227 Å, b = 4.6765 Å, c = 5.2626 Å
α = 85.25°, β = 89.18°, γ = 89.81°
Positions (direct):
Ce 0.0000 0.0000 0.0000
Zn 0.4896 0.4023 0.2364
Zn 0.5104 0.5977 0.7636
H 0.1154 0.5067 0.8112
H 0.1707 0.1829 0.4897
H 0.2813 0.7124 0.3746
H 0.4961 0.9530 0.8089
H 0.5039 0.0470 0.1911
H 0.7187 0.2876 0.6254
H 0.8293 0.8171 0.5103
H 0.8846 0.4933 0.1888
Rh 0.0000 0.5000 0.5000

(3)
Entry from Alexandria via LeMat-Bulk: a relaxed Rb2CaBF6 crystal (PBE).

The calculation puts the energy relative to the elements, uncorrected at -25.4 eV per formula unit.

a = 7.0149 Å, b = 7.0149 Å, c = 7.0149 Å
α = 133.93°, β = 133.93°, γ = 67.19°
Positions (direct):
Rb 0.2500 0.7500 0.5000
Rb 0.7500 0.2500 0.5000
Ca 0.0000 0.0000 0.0000
B 0.5000 0.5000 0.0000
F 0.1887 0.1887 0.0000
F 0.2963 0.2963 0.5926
F 0.2963 0.7037 0.0000
F 0.7037 0.2963 0.0000
F 0.7037 0.7037 0.4074
F 0.8113 0.8113 0.0000

(4)
Entry from Alexandria via LeMat-Bulk: a relaxed LuScMnRh crystal (PBE).

The formation energy is -8.7 kcal/mol of atoms.

a = 4.7050 Å, b = 4.7050 Å, c = 4.7050 Å
α = 60.00°, β = 60.00°, γ = 60.00°
Positions (direct):
Lu 0.0000 0.0000 0.0000
Sc 0.5000 0.5000 0.5000
Mn 0.7500 0.7500 0.7500
Rh 0.2500 0.2500 0.2500

What final energy values result from the calculations? In sequence: -59.3; -44.6; -47.3; -28.9 eV for the cell shown.